{
  "formula": "BeMoCl",
  "functional": "PBE",
  "state": "relaxed",
  "lattice": [[0.000, 2.810, 2.810], [2.810, 0.000, 2.810], [2.810, 2.810, 0.000]],
  "species": ["Be", "Mo", "Cl"],
  "frac_coords": [[0.000, 0.000, 0.000], [0.500, 0.500, 0.500], [0.250, 0.250, 0.250]],
  "formation_energy_uncorrected_mev_per_atom": 1207,
  "relative_energy_mev_per_atom": 884.7,
  "vol_a3_per_atom": 14.8
}

***

{
  "formula": "BeMoCl",
  "functional": "PBE",
  "state": "relaxed",
  "lattice": [[4.267, 0.000, 0.000], [-2.133, 3.695, 0.000], [0.000, 0.000, 2.708]],
  "species": ["Be", "Mo", "Cl"],
  "frac_coords": [[0.000, 0.000, 0.000], [0.333, 0.667, 0.500], [0.667, 0.333, 0.500]],
  "formation_energy_uncorrected_mev_per_atom": 674,
  "relative_energy_mev_per_atom": 352.4,
  "vol_a3_per_atom": 14.2
}

***

{
  "formula": "Be2MoCl",
  "functional": "PBE",
  "state": "relaxed",
  "lattice": [[0.000, 2.987, 2.987], [2.987, 0.000, 2.987], [2.987, 2.987, 0.000]],
  "species": ["Be", "Be", "Mo", "Cl"],
  "frac_coords": [[0.250, 0.250, 0.250], [0.750, 0.750, 0.750], [0.000, 0.000, 0.000], [0.500, 0.500, 0.500]],
  "formation_energy_uncorrected_mev_per_atom": 1212,
  "relative_energy_mev_per_atom": 1021.3,
  "vol_a3_per_atom": 13.3
}

***

{
  "formula": "Be2MoCl",
  "functional": "PBE",
  "state": "relaxed",
  "lattice": [[1.638, -2.284, 0.000], [1.638, 2.284, 0.000], [0.000, 0.000, 7.231]],
  "species": ["Be", "Be", "Mo", "Cl"],
  "frac_coords": [[0.000, 0.000, 0.245], [0.000, 0.000, 0.755], [0.500, 0.500, 0.000], [0.500, 0.500, 0.500]],
  "formation_energy_uncorrected_mev_per_atom": 297,
  "relative_energy_mev_per_atom": 106.3,
  "vol_a3_per_atom": 13.5
}

***

{
  "formula": "Be2MoCl",
  "functional": "PBE",
  "state": "relaxed",
  "lattice": [[4.311, -1.389, 0.000], [4.311, 1.389, 0.000], [-1.259, 0.000, 4.844]],
  "species": ["Be", "Be", "Mo", "Cl"],
  "frac_coords": [[0.207, 0.207, 0.343], [0.793, 0.793, 0.657], [0.500, 0.500, 0.500], [0.000, 0.000, 0.000]],
  "formation_energy_uncorrected_mev_per_atom": 577,
  "relative_energy_mev_per_atom": 386.6,
  "vol_a3_per_atom": 14.5
}

***

{
  "formula": "Be2MoCl",
  "functional": "PBE",
  "state": "relaxed",
  "lattice": [[2.469, -3.781, 0.000], [2.469, 3.781, 0.000], [0.000, 0.000, 2.769]],
  "species": ["Be", "Be", "Mo", "Cl"],
  "frac_coords": [[0.000, 0.500, 0.000], [0.500, 0.000, 0.000], [0.000, 0.000, 0.500], [0.500, 0.500, 0.500]],
  "formation_energy_uncorrected_mev_per_atom": 498,
  "relative_energy_mev_per_atom": 307.1,
  "vol_a3_per_atom": 12.9
}

***

{
  "formula": "Be2MoCl",
  "functional": "PBE",
  "state": "relaxed",
  "lattice": [[-1.730, 1.730, 4.184], [1.730, -1.730, 4.184], [1.730, 1.730, -4.184]],
  "species": ["Be", "Be", "Mo", "Cl"],
  "frac_coords": [[0.000, 0.000, 0.000], [0.750, 0.250, 0.500], [0.500, 0.500, 0.000], [0.250, 0.750, 0.500]],
  "formation_energy_uncorrected_mev_per_atom": 684,
  "relative_energy_mev_per_atom": 493.3,
  "vol_a3_per_atom": 12.5
}

***

{
  "formula": "Be2MoCl",
  "functional": "PBE",
  "state": "relaxed",
  "lattice": [[4.000, 0.000, 0.000], [0.000, 1.372, 4.785], [0.000, -1.372, 4.785]],
  "species": ["Be", "Be", "Mo", "Cl"],
  "frac_coords": [[0.000, 0.000, 0.000], [0.500, 0.109, 0.109], [0.500, 0.398, 0.398], [0.000, 0.234, 0.234]],
  "formation_energy_uncorrected_mev_per_atom": 382,
  "relative_energy_mev_per_atom": 191.3,
  "vol_a3_per_atom": 13.1
}

***

{
  "formula": "Be2MoCl",
  "functional": "PBE",
  "state": "relaxed",
  "lattice": [[4.537, 0.000, 0.000], [0.000, 2.763, 0.000], [-2.032, 0.000, 4.137]],
  "species": ["Be", "Be", "Mo", "Cl"],
  "frac_coords": [[0.000, 0.000, 0.000], [0.000, 0.500, 0.500], [0.500, 0.000, 0.500], [0.500, 0.500, 0.000]],
  "formation_energy_uncorrected_mev_per_atom": 626,
  "relative_energy_mev_per_atom": 435.8,
  "vol_a3_per_atom": 13.0
}

***

{
  "formula": "BeMoCl",
  "functional": "PBE",
  "state": "relaxed",
  "lattice": [[-1.433, 1.433, 6.545], [1.433, -1.433, 6.545], [1.433, 1.433, -6.545]],
  "species": ["Be", "Mo", "Cl"],
  "frac_coords": [[0.000, 0.000, 0.000], [0.392, 0.392, 0.000], [0.762, 0.762, 0.000]],
  "formation_energy_uncorrected_mev_per_atom": 322,
  "relative_energy_mev_per_atom": 0.0,
  "vol_a3_per_atom": 17.9
}

***

{
  "formula": "Be2MoCl",
  "functional": "PBE",
  "state": "relaxed",
  "lattice": [[1.457, 0.841, 7.289], [-1.457, 0.841, 7.289], [0.000, -1.683, 7.289]],
  "species": ["Be", "Be", "Mo", "Cl"],
  "frac_coords": [[0.247, 0.247, 0.247], [0.753, 0.753, 0.753], [0.000, 0.000, 0.000], [0.500, 0.500, 0.500]],
  "formation_energy_uncorrected_mev_per_atom": 287,
  "relative_energy_mev_per_atom": 97.1,
  "vol_a3_per_atom": 13.4
}

***

{
  "formula": "Be2MoCl",
  "functional": "PBE",
  "state": "relaxed",
  "lattice": [[2.807, 0.000, 0.000], [0.000, 3.104, 0.000], [0.000, 0.000, 7.815]],
  "species": ["Be", "Be", "Mo", "Cl"],
  "frac_coords": [[0.000, 0.000, 0.000], [0.500, 0.500, 0.138], [0.500, 0.500, 0.845], [0.000, 0.000, 0.295]],
  "formation_energy_uncorrected_mev_per_atom": 365,
  "relative_energy_mev_per_atom": 174.5,
  "vol_a3_per_atom": 17.0
}